Here is Li2FeSe after structural relaxation from Alexandria via LeMat-Bulk. Energies are from PBE-GGA.

Structure (extended XYZ):
```
4
Lattice="-0.518 -4.093 0.840 0.028 -2.812 -3.134 3.238 -2.660 -0.413" Properties=species:S:1:pos:R:3 pbc="T T T"
Fe 1.374 -4.783 -1.353
Li 0.000 0.000 0.000
Li 0.687 -2.391 -0.677
Se 2.061 -7.174 -2.030
```

**Space-group type**: No. 216
**Uncorrected formation energy**: -175 meV per atom